The following is a PBE with a Hubbard U calculation of an optimized crystal structure of Ni2BiTeO6, from the Alexandria database.

It has space group R3 (No. 146, hexagonal axes), with a = 5.4994 Å, b = 5.4994 Å, c = 14.3810 Å, α = 90.00°, β = 90.00° and γ = 120.00°. Symmetry generates all atoms from Ni at (0.0000, 0.0000, 0.0000), Ni at (0.0000, 0.0000, 0.4909), Bi at (0.0000, 0.0000, 0.2803), Te at (0.0000, 0.0000, 0.7948), O at (0.0369, 0.3511, 0.0656) and O at (0.0861, 0.7183, 0.5561).

The raw total energy comes out at -5.215 eV per atom. The value obtained for the size of the total moment is 5.03 μB/f.u. The value obtained for the density of states at the Fermi level is 0.18 states/eV/atom.